Material: CsSb2Ir
Method: DFT, PBE-GGA
State: relaxed

```
CsSb2Ir
1.0
4.348 0.000 0.000
-2.174 3.765 0.000
0.000 0.000 23.538
Cs Sb Ir
3 6 3
Cartesian
0.000 0.000 0.000
0.000 2.510 15.692
2.174 1.255 7.846
0.000 0.000 12.842
0.000 0.000 18.624
0.000 2.510 4.996
0.000 2.510 10.778
2.174 1.255 2.932
2.174 1.255 20.688
0.000 0.000 4.090
0.000 2.510 19.782
2.174 1.255 11.936
```

Values from the calculation:
The volume is 32.11 Å³/atom. As for the space-group type: R3m. As for the uncorrected formation energy: -279 meV per atom.

***

Material: CsSb2Ir2
Method: DFT, PBE-GGA
State: relaxed

```
CsSb2Ir2
1.0
4.022 0.000 0.000
0.000 4.022 0.000
0.000 0.000 8.865
Cs Sb Ir
1 2 2
Cartesian
0.000 0.000 0.000
2.011 2.011 2.658
2.011 2.011 6.207
0.000 2.011 4.433
2.011 0.000 4.433
```

Values from the calculation:
The volume is 28.68 Å³/atom. As for the space-group type: P4/mmm. As for the uncorrected formation energy: -71 meV per atom.

***

Material: CsSb3Ir
Method: DFT, PBE-GGA
State: relaxed

```
CsSb3Ir
1.0
5.975 0.000 0.000
0.000 5.975 0.000
0.000 0.000 5.975
Cs Sb Ir
1 3 1
Cartesian
0.000 0.000 0.000
0.000 0.000 2.987
0.000 2.987 0.000
2.987 0.000 0.000
2.987 2.987 2.987
```

Values from the calculation:
The volume is 42.66 Å³/atom. As for the space-group type: Pm-3m. As for the uncorrected formation energy: 2540 meV per atom.

***

Material: CsSb3Ir
Method: DFT, PBE-GGA
State: relaxed

```
CsSb3Ir
1.0
5.425 0.000 0.000
0.000 5.425 0.000
0.000 0.000 5.425
Cs Sb Ir
1 3 1
Cartesian
0.000 0.000 0.000
0.000 2.713 2.713
2.713 0.000 2.713
2.713 2.713 0.000
2.713 2.713 2.713
```

Values from the calculation:
The volume is 31.94 Å³/atom. As for the space-group type: Pm-3m. As for the uncorrected formation energy: 264 meV per atom.

***

Material: CsSb2Ir
Method: DFT, PBE-GGA
State: relaxed

```
CsSb2Ir
1.0
3.424 0.000 0.000
0.000 3.424 0.000
0.000 0.000 9.283
Cs Sb Ir
1 2 1
Cartesian
0.000 0.000 0.000
1.712 1.712 3.081
1.712 1.712 6.202
0.000 0.000 4.641
```

Values from the calculation:
The volume is 27.21 Å³/atom. As for the space-group type: P4/mmm. As for the uncorrected formation energy: -14 meV per atom.

***

Material: CsTaSbIr2
Method: DFT, PBE-GGA
State: relaxed

```
CsTaSbIr2
1.0
5.006 0.000 0.000
0.000 5.006 0.000
0.000 0.000 5.460
Cs Ta Sb Ir
1 1 1 2
Cartesian
0.000 0.000 0.000
2.503 2.503 2.730
2.503 2.503 0.000
0.000 2.503 2.730
2.503 0.000 2.730
```

Values from the calculation:
The volume is 27.36 Å³/atom. As for the space-group type: P4/mmm. As for the uncorrected formation energy: 928 meV per atom.

***

Material: CsSb2TeIr
Method: DFT, PBE-GGA
State: relaxed

```
CsSb2TeIr
1.0
5.178 0.000 0.000
0.000 5.178 0.000
0.000 0.000 6.150
Cs Sb Te Ir
1 2 1 1
Cartesian
0.000 0.000 0.000
0.000 2.589 3.075
2.589 0.000 3.075
2.589 2.589 0.000
2.589 2.589 3.075
```

Values from the calculation:
The volume is 32.98 Å³/atom. As for the space-group type: P4/mmm. As for the uncorrected formation energy: 84 meV per atom.

***

Material: CsSbTe2Ir
Method: DFT, PBE-GGA
State: relaxed

```
CsSbTe2Ir
1.0
6.427 0.000 0.000
0.000 6.427 0.000
0.000 0.000 6.409
Cs Sb Te Ir
1 1 2 1
Cartesian
0.000 0.000 0.000
0.000 0.000 3.205
0.000 3.213 0.000
3.213 0.000 0.000
3.213 3.213 3.205
```

Values from the calculation:
The volume is 52.95 Å³/atom. As for the space-group type: P4/mmm. As for the uncorrected formation energy: 2270 meV per atom.

***

Material: CsSbTe2Ir
Method: DFT, PBE-GGA
State: relaxed

```
CsSbTe2Ir
1.0
5.723 0.000 0.000
0.000 5.723 0.000
0.000 0.000 5.031
Cs Sb Te Ir
1 1 2 1
Cartesian
0.000 0.000 0.000
2.862 2.862 0.000
0.000 2.862 2.515
2.862 0.000 2.515
2.862 2.862 2.515
```

Values from the calculation:
The volume is 32.95 Å³/atom. As for the space-group type: P4/mmm. As for the uncorrected formation energy: 18 meV per atom.

***

Material: CsSb2TeIr
Method: DFT, PBE-GGA
State: relaxed

```
CsSb2TeIr
1.0
6.186 0.000 0.000
0.000 6.186 0.000
0.000 0.000 6.125
Cs Sb Te Ir
1 2 1 1
Cartesian
0.000 0.000 0.000
0.000 3.093 0.000
3.093 0.000 0.000
0.000 0.000 3.063
3.093 3.093 3.063
```

Values from the calculation:
The volume is 46.88 Å³/atom. As for the space-group type: P4/mmm. As for the uncorrected formation energy: 2425 meV per atom.

***

Material: CsV2SbIr
Method: DFT, PBE-GGA
State: relaxed

```
CsV2SbIr
1.0
5.169 0.000 0.000
0.000 5.169 0.000
0.000 0.000 6.769
Cs V Sb Ir
1 2 1 1
Cartesian
0.000 0.000 0.000
0.000 2.584 3.384
2.584 0.000 3.384
0.000 0.000 3.384
2.584 2.584 0.000
```

Values from the calculation:
The volume is 36.17 Å³/atom. As for the space-group type: P4/mmm. As for the uncorrected formation energy: 1796 meV per atom.

***

Material: CsZrSbIr2
Method: DFT, PBE-GGA
State: relaxed

```
CsZrSbIr2
1.0
5.115 0.000 0.000
0.000 5.115 0.000
0.000 0.000 5.643
Cs Zr Sb Ir
1 1 1 2
Cartesian
0.000 0.000 0.000
2.558 2.558 2.822
2.558 2.558 0.000
0.000 2.558 2.822
2.558 0.000 2.822
```

Values from the calculation:
The volume is 29.53 Å³/atom. As for the space-group type: P4/mmm. As for the uncorrected formation energy: 877 meV per atom.